Cr4HOs | PBE | optimized geometry

a b c (Å): 4.590 5.427 5.427
angles (deg): 102.72 97.58 97.58
Element x y z (fractional)
Cr  0.834  0.566  0.843
Cr  0.062  0.962  0.241
Cr  0.666  0.157  0.434
Cr  0.438  0.759  0.038
Cr  0.562  0.241  0.962
Cr  0.334  0.843  0.566
Cr  0.938  0.038  0.759
Cr  0.166  0.434  0.157
H  0.250  0.015  0.985
H  0.750  0.985  0.015
Os  0.750  0.612  0.388
Os  0.250  0.388  0.612

Results
**Symmetry**: C2/c (15)
**Density of states at the Fermi level**: 9.9 states/eV per cell
**Uncorrected energy**: -8.678 eV per atom